A relaxed structure of GeSe2N2. Source: the Alexandria database, functional PBE-GGA.

Structure (POSCAR):
```
GeSe2N2
1.0
4.636 0.000 0.000
0.000 4.636 0.000
2.318 2.318 4.296
Se N Ge
2 2 1
Direct
0.250 0.750 0.500
0.750 0.250 0.500
0.566 0.566 0.869
0.434 0.434 0.131
0.000 0.000 0.000
```

Output
Fermi-level density of states: 0.4463 states/eV/atom
SG: I4/mmm (139)
Magnetic moment: 0.00 μB/cell
Final energy: -5.099 eV/atom